The following is a DFT calculation (PBE-GGA) of a geometry-optimized TaIrCl structure.

The structure in POSCAR format:
```
TaIrCl
1.0
-1.460 2.002 4.179
1.460 -2.002 4.179
1.460 2.002 -4.179
Ta Ir Cl
1 1 1
direct
0.000 0.000 0.000
0.341 0.341 0.000
0.656 0.656 0.000
```

Summary:
offset from the most stable computed form: 489 meV/atom
uncorrected formation energy: 0.244 eV per atom
volume: 48.85 Å³/cell
space-group type: Imm2

---

The following is a DFT calculation (PBE-GGA) of a geometry-optimized Tb12Tm2Pu structure.

The structure in POSCAR format:
```
Tb12Tm2Pu
1.0
3.531 -5.553 0.000
3.531 5.553 0.000
-1.750 0.000 24.430
Tb Tm Pu
24 4 2
direct
0.058 0.542 0.200
0.063 0.600 0.328
0.131 0.652 0.556
0.169 0.169 0.564
0.214 0.214 0.861
0.232 0.732 0.928
0.268 0.768 0.072
0.283 0.283 0.130
0.346 0.346 0.405
0.348 0.869 0.444
0.400 0.937 0.672
0.458 0.942 0.800
0.542 0.058 0.200
0.600 0.063 0.328
0.652 0.131 0.556
0.654 0.654 0.595
0.717 0.717 0.870
0.732 0.232 0.928
0.768 0.268 0.072
0.786 0.786 0.139
0.831 0.831 0.436
0.869 0.348 0.444
0.937 0.400 0.672
0.942 0.458 0.800
0.077 0.077 0.267
0.444 0.444 0.733
0.556 0.556 0.267
0.923 0.923 0.733
0.249 0.249 0.996
0.751 0.751 0.004
```

Summary:
volume: 957.92 Å³/cell
space-group type: C2/m
ΔE_f: 13 kJ/mol of atoms

---

The following is a DFT calculation (PBE-GGA) of a geometry-optimized CaPu2AgO8 structure.

The structure in POSCAR format:
```
CaPu2AgO8
1.0
-3.616 3.616 3.785
3.616 -3.616 3.785
3.616 3.616 -3.785
Ca Pu Ag O
1 2 1 8
direct
0.000 0.000 0.000
0.250 0.750 0.500
0.500 0.500 0.000
0.750 0.250 0.500
0.068 0.379 0.310
0.068 0.758 0.690
0.127 0.312 0.815
0.242 0.932 0.310
0.497 0.312 0.185
0.621 0.932 0.690
0.688 0.503 0.815
0.688 0.873 0.185
```

Summary:
uncorrected formation energy: -1.737 eV per atom
volume: 197.94 Å³/cell
space-group type: I-4m2

---

The following is a DFT calculation (PBE-GGA) of a geometry-optimized Ga2NiSnTe structure.

The structure in POSCAR format:
```
Ga2NiSnTe
1.0
4.721 0.000 0.000
0.000 4.721 0.000
0.000 0.000 5.055
Ga Ni Sn Te
2 1 1 1
direct
0.000 0.500 0.000
0.500 0.000 0.000
0.000 0.000 0.000
0.000 0.000 0.500
0.500 0.500 0.500
```

Summary:
uncorrected formation energy: -0.186 eV per atom
volume: 112.65 Å³/cell
space-group type: P4/mmm

---

The following is a DFT calculation (PBE-GGA) of a geometry-optimized BPdI2 structure.

The structure in POSCAR format:
```
BPdI2
1.0
-2.914 2.914 6.209
2.914 -2.914 6.209
2.914 2.914 -6.209
B Pd I
2 2 4
direct
0.000 0.000 0.000
0.750 0.250 0.500
0.250 0.750 0.500
0.500 0.500 0.000
0.082 0.625 0.957
0.375 0.332 0.457
0.668 0.125 0.043
0.875 0.918 0.543
```

Summary:
offset from the most stable computed form: 0 meV/atom
uncorrected formation energy: 0.774 eV per atom
volume: 210.93 Å³/cell
space-group type: I-42d

---

The following is a DFT calculation (PBE-GGA) of a geometry-optimized Fe2GeMoC structure.

The structure in POSCAR format:
```
Fe2GeMoC
1.0
3.829 0.000 0.000
0.000 3.829 0.000
0.000 0.000 4.145
Fe Ge Mo C
2 1 1 1
direct
0.000 0.500 0.000
0.500 0.000 0.000
0.000 0.000 0.500
0.500 0.500 0.500
0.500 0.500 0.000
```

Summary:
volume: 60.76 Å³/cell
space-group type: P4/mmm
ΔE_f: 4 kJ/mol of atoms

---

no.,electronic total energy (eV/atom)
1,-7.2756
2,-5.1189
3,-7.8359
4,-3.9814
5,-2.9686
6,-8.2784